A relaxed CoGeBi2O6 crystal, computed with GGA+U.

a b c (Å): 5.5982 5.6006 5.6377
angles (deg): 119.51 90.25 119.76
Positions (direct):
Co: 0.0000 0.0000 0.0000
Ge: 0.4928 0.9840 0.4786
Bi: 0.2753 0.5446 0.8186
Bi: 0.7744 0.5477 0.3213
O: 0.1726 0.8702 0.1988
O: 0.2309 0.8879 0.6831
O: 0.3266 0.4991 0.1996
O: 0.6580 0.4489 0.6815
O: 0.6969 0.0198 0.1971
O: 0.7954 0.0200 0.6816

- E_tot: -6.02 eV/atom
- Space group: No. 1
- Spin magnetization: 3.02 μB per formula unit

A relaxed Co2GeBiO6 crystal, computed with GGA+U.

a b c (Å): 5.7406 5.7406 5.7406
angles (deg): 53.45 53.45 53.45
Positions (direct):
Co: 0.0000 0.0000 0.0000
Co: 0.4708 0.4708 0.4708
Ge: 0.6813 0.6813 0.6813
Bi: 0.2063 0.2063 0.2063
O: 0.0632 0.4009 0.7656
O: 0.2784 0.8514 0.6631
O: 0.4009 0.7656 0.0632
O: 0.6631 0.2784 0.8514
O: 0.7656 0.0632 0.4009
O: 0.8514 0.6631 0.2784

- E_tot: -6.03 eV/atom
- Space group: No. 146
- Spin magnetization: 3.04 μB per formula unit

A relaxed CoGe2BiO6 crystal, computed with GGA+U.

a b c (Å): 7.3431 7.3431 5.6118
angles (deg): 103.11 103.11 85.64
Positions (direct):
Co: 0.2417 0.7583 0.7500
Co: 0.7583 0.2417 0.2500
Ge: 0.2189 0.3776 0.2932
Ge: 0.3776 0.2189 0.7932
Ge: 0.6224 0.7811 0.2068
Ge: 0.7811 0.6224 0.7068
Bi: 0.1276 0.8724 0.2500
Bi: 0.8724 0.1276 0.7500
O: 0.0517 0.1965 0.1807
O: 0.1298 0.6028 0.4019
O: 0.1965 0.0517 0.6807
O: 0.3142 0.4011 0.0340
O: 0.3972 0.8702 0.0981
O: 0.4011 0.3142 0.5340
O: 0.5989 0.6858 0.4660
O: 0.6028 0.1298 0.9019
O: 0.6858 0.5989 0.9660
O: 0.8035 0.9483 0.3193
O: 0.8702 0.3972 0.5981
O: 0.9483 0.8035 0.8193

- E_tot: -6.07 eV/atom
- Space group: No. 15
- Spin magnetization: 2.00 μB per formula unit

Copy entry 1 word for word.
A relaxed CoGeBi2O6 crystal, computed with GGA+U.

a b c (Å): 5.5982 5.6006 5.6377
angles (deg): 119.51 90.25 119.76
Positions (direct):
Co: 0.0000 0.0000 0.0000
Ge: 0.4928 0.9840 0.4786
Bi: 0.2753 0.5446 0.8186
Bi: 0.7744 0.5477 0.3213
O: 0.1726 0.8702 0.1988
O: 0.2309 0.8879 0.6831
O: 0.3266 0.4991 0.1996
O: 0.6580 0.4489 0.6815
O: 0.6969 0.0198 0.1971
O: 0.7954 0.0200 0.6816

- E_tot: -6.02 eV/atom
- Space group: No. 1
- Spin magnetization: 3.02 μB per formula unit

- What is the spin magnetization in the second record?
  3.04 μB per formula unit